# 1
Entry from the Alexandria database: a relaxed structure of Sm4Y7Sc (GGA-PBE).

Properties
- Final energy: -5.78 eV/atom

Lattice parameters (Å, degrees): 6.534 6.796 9.054 86.14 77.11 82.46
Positions (direct):
Sm1 0.134 0.309 0.282
Sm2 0.347 0.884 0.697
Sm3 0.653 0.116 0.303
Sm4 0.866 0.691 0.718
Y1 0.022 0.248 0.951
Y2 0.189 0.807 0.353
Y3 0.308 0.395 0.614
Y4 0.500 0.500 0.000
Y5 0.692 0.605 0.386
Y6 0.811 0.193 0.647
Y7 0.978 0.752 0.049
Sc1 0.500 0.000 0.000

=====

# 2
Entry from the Alexandria database: a relaxed structure of Sm4Y8Sc (GGA-PBE).

Properties
- Final energy: -5.40 eV/atom

Lattice parameters (Å, degrees): 7.758 7.758 7.758 90.07 90.07 90.07
Positions (direct):
Sm1 0.000 0.000 0.000
Sm2 0.000 0.500 0.500
Sm3 0.500 0.000 0.500
Sm4 0.500 0.500 0.000
Y1 0.243 0.243 0.243
Y2 0.243 0.243 0.756
Y3 0.243 0.756 0.243
Y4 0.244 0.757 0.757
Y5 0.756 0.243 0.243
Y6 0.757 0.244 0.757
Y7 0.757 0.757 0.244
Y8 0.757 0.757 0.757
Sc1 0.500 0.500 0.500

=====

# 3
Entry from the Alexandria database: a relaxed structure of Sm2Y9Sc (GGA-PBE).

Properties
- Final energy: -6.13 eV/atom

Lattice parameters (Å, degrees): 5.035 5.035 15.077 90.00 90.00 90.00
Positions (direct):
Sm1 0.000 0.000 0.168
Sm2 0.000 0.000 0.832
Y1 0.000 0.500 0.000
Y2 0.000 0.500 0.339
Y3 0.000 0.500 0.661
Y4 0.500 0.000 0.000
Y5 0.500 0.000 0.339
Y6 0.500 0.000 0.661
Y7 0.500 0.500 0.170
Y8 0.500 0.500 0.500
Y9 0.500 0.500 0.830
Sc1 0.000 0.000 0.500